Density functional theory data (GGA-PBE) for an optimized crystal structure of Zr2Sb.

The space group is Cmc2_1 (No. 36) and the conventional cell measures 3.677, 19.541 and 7.794 Å, with angles of 90.00, 90.00 and 90.00 degrees. The asymmetric unit holds Zr at (0.000, 0.028, 0.000), Zr at (0.000, 0.169, 0.370), Zr at (0.000, 0.334, 0.518), Zr at (0.000, 0.408, 0.170), Sb at (0.000, 0.214, 0.741) and Sb at (0.000, 0.443, 0.791).

Its uncorrected formation energy is -11.90 kcal/mol of atoms. For the calculated total energy, the calculation gives -7.589 eV per atom.